No. 1
# AcThFeN4 PBE-GGA optimized geometry
# * V: 14.002 Å³ per atom
# * raw total energy: -8.44 eV/atom
# * ΔE_f (raw): -556 kJ/mol of formula units
data_AcThFeN4
_space_group_name_H-M_alt 'I 4 m m'
_space_group_IT_number 107
_space_group_name_Hall 'I 4 -2'
_cell_length_a 3.8094
_cell_length_b 3.8094
_cell_length_c 13.5080
_cell_angle_alpha 90.00
_cell_angle_beta 90.00
_cell_angle_gamma 90.00
loop_
_atom_site_label
_atom_site_type_symbol
_atom_site_fract_x
_atom_site_fract_y
_atom_site_fract_z
Ac1 Ac 0.0000 0.0000 0.0000
Th1 Th 0.0000 0.0000 0.7189
Fe1 Fe 0.0000 0.0000 0.3357
N1 N 0.0000 0.0000 0.1987
N2 N 0.0000 0.0000 0.5510
N3 N 0.0000 0.5000 0.3508

=====

No. 2
# AcU2FeN4 PBE-GGA optimized geometry
# * V: 14.574 Å³ per atom
# * raw total energy: -9.71 eV/atom
# * ΔE_f (raw): -892 kJ/mol of formula units
data_AcU2FeN4
_space_group_name_H-M_alt 'C m c m'
_space_group_IT_number 63
_space_group_name_Hall '-C 2c 2'
_cell_length_a 3.4993
_cell_length_b 11.7191
_cell_length_c 11.3723
_cell_angle_alpha 90.00
_cell_angle_beta 90.00
_cell_angle_gamma 90.00
loop_
_atom_site_label
_atom_site_type_symbol
_atom_site_fract_x
_atom_site_fract_y
_atom_site_fract_z
Ac1 Ac 0.0000 0.0988 0.2500
U1 U 0.0000 0.3680 0.0574
Fe1 Fe 0.0000 0.1655 0.7500
N1 N 0.0000 0.0000 0.0000
N2 N 0.0000 0.2631 0.6081
N3 N 0.0000 0.4301 0.2500